1:
The following is a DFT calculation (PBE-GGA) of a relaxed structure of Al2VAg.

a b c (Å): 3.7982 3.7982 6.1130
angles (deg): 71.90 71.90 60.00
Sites, in units of the cell vectors:
1 Al 0.0809 0.0809 0.7572
2 Al 0.2527 0.2527 0.2419
3 V 0.6713 0.6713 0.9860
4 Ag 0.4950 0.4950 0.5149

Output
- SG = R3m (160)
- calculated density (g/cm³) = 4.96
- calculated volume (Å³/atom) = 17.8

***

2:
The following is a DFT calculation (PBE-GGA) of a relaxed structure of Al2VAg.

a b c (Å): 4.4673 4.4673 4.4673
angles (deg): 60.00 60.00 60.00
Sites, in units of the cell vectors:
1 Al 0.2500 0.2500 0.2500
2 Al 0.7500 0.7500 0.7500
3 Ag 0.5000 0.5000 0.5000
4 V 0.0000 0.0000 0.0000

Output
- SG = Fm-3m (225)
- calculated density (g/cm³) = 5.60
- calculated volume (Å³/atom) = 15.8

***

Most stable structure, least stable structure: 2, 1.

***

1:
The following is a DFT calculation (PBE-GGA) of a relaxed structure of AlV3Ag.

a b c (Å): 4.7196 4.7196 4.7196
angles (deg): 90.00 90.00 90.00
Sites, in units of the cell vectors:
1 Al 0.5000 0.5000 0.5000
2 Ag 0.0000 0.0000 0.0000
3 V 0.0000 0.5000 0.0000
4 V 0.0000 0.0000 0.5000
5 V 0.5000 0.0000 0.0000

Output
- SG = Pm-3m (221)
- calculated density (g/cm³) = 4.54
- calculated volume (Å³/atom) = 21.0

***

2:
The following is a DFT calculation (PBE-GGA) of a relaxed structure of AlV3Ag.

a b c (Å): 4.4917 4.4917 4.4917
angles (deg): 90.00 90.00 90.00
Sites, in units of the cell vectors:
1 Al 0.0000 0.0000 0.0000
2 Ag 0.5000 0.5000 0.5000
3 V 0.0000 0.5000 0.0000
4 V 0.0000 0.0000 0.5000
5 V 0.5000 0.0000 0.0000

Output
- SG = Pm-3m (221)
- calculated density (g/cm³) = 5.27
- calculated volume (Å³/atom) = 18.1

***

Most stable structure, least stable structure: 2, 1.

***

1:
The following is a DFT calculation (PBE-GGA) of a relaxed structure of Al2V2Ag.

a b c (Å): 7.6080 7.6080 2.7690
angles (deg): 90.00 90.00 90.00
Sites, in units of the cell vectors:
1 Al 0.1885 0.6885 0.5000
2 Al 0.6885 0.8115 0.5000
3 Al 0.8115 0.3115 0.5000
4 Al 0.3115 0.1885 0.5000
5 Ag 0.0000 0.0000 0.0000
6 Ag 0.5000 0.5000 0.0000
7 V 0.3934 0.8934 0.0000
8 V 0.8934 0.6066 0.0000
9 V 0.6066 0.1066 0.0000
10 V 0.1066 0.3934 0.0000

Output
- SG = P4/mbm (127)
- calculated density (g/cm³) = 5.46
- calculated volume (Å³/atom) = 16.0

***

2:
The following is a DFT calculation (PBE-GGA) of a relaxed structure of Al2V2Ag.

a b c (Å): 6.8831 6.8831 3.2290
angles (deg): 90.00 90.00 90.00
Sites, in units of the cell vectors:
1 Al 0.3721 0.8721 0.0000
2 Al 0.8721 0.6279 0.0000
3 Al 0.6279 0.1279 0.0000
4 Al 0.1279 0.3721 0.0000
5 Ag 0.0000 0.0000 0.0000
6 Ag 0.5000 0.5000 0.0000
7 V 0.1703 0.6703 0.5000
8 V 0.6703 0.8297 0.5000
9 V 0.8297 0.3297 0.5000
10 V 0.3297 0.1703 0.5000

Output
- SG = P4/mbm (127)
- calculated density (g/cm³) = 5.72
- calculated volume (Å³/atom) = 15.3

***

Most stable structure, least stable structure: 1, 2.

***

1:
The following is a DFT calculation (PBE-GGA) of a relaxed structure of YAlAg3.

a b c (Å): 6.7463 6.7491 5.8793
angles (deg): 90.00 90.00 51.19
Sites, in units of the cell vectors:
1 Y 0.0269 0.2315 0.0524
2 Y 0.5337 0.7342 0.5524
3 Al 0.9142 0.1147 0.5524
4 Al 0.6464 0.8510 0.0524
5 Ag 0.1219 0.3220 0.5524
6 Ag 0.4387 0.6437 0.0524
7 Ag 0.5285 0.2356 0.8024
8 Ag 0.5285 0.2356 0.3023
9 Ag 0.0321 0.7301 0.3024
10 Ag 0.0321 0.7301 0.8023

Output
- SG = P2_1/m (11)
- calculated density (g/cm³) = 7.00
- calculated volume (Å³/atom) = 20.9

***

2:
The following is a DFT calculation (PBE-GGA) of a relaxed structure of YAlAg3.

a b c (Å): 4.8440 4.8440 4.8440
angles (deg): 90.00 90.00 90.00
Sites, in units of the cell vectors:
1 Y 0.5000 0.5000 0.5000
2 Al 0.0000 0.0000 0.0000
3 Ag 0.0000 0.5000 0.0000
4 Ag 0.0000 0.0000 0.5000
5 Ag 0.5000 0.0000 0.0000

Output
- SG = Pm-3m (221)
- calculated density (g/cm³) = 6.42
- calculated volume (Å³/atom) = 22.7

***

Most stable structure, least stable structure: 1, 2.

***

1:
The following is a DFT calculation (PBE-GGA) of a relaxed structure of YAlAg3.

a b c (Å): 5.5124 5.5124 5.5124
angles (deg): 90.00 90.00 90.00
Sites, in units of the cell vectors:
1 Y 0.0000 0.0000 0.0000
2 Al 0.5000 0.5000 0.5000
3 Ag 0.0000 0.5000 0.0000
4 Ag 0.0000 0.0000 0.5000
5 Ag 0.5000 0.0000 0.0000

Output
- SG = Pm-3m (221)
- calculated density (g/cm³) = 4.36
- calculated volume (Å³/atom) = 33.5

***

2:
The following is a DFT calculation (PBE-GGA) of a relaxed structure of YAlAg3.

a b c (Å): 4.5279 7.1114 6.4663
angles (deg): 74.94 90.00 90.00
Sites, in units of the cell vectors:
1 Y 0.3810 0.5379 0.2141
2 Y 0.8810 0.1369 0.5920
3 Al 0.3810 0.7789 0.6021
4 Al 0.8810 0.8959 0.2040
5 Ag 0.8810 0.5840 0.5282
6 Ag 0.3810 0.0907 0.2779
7 Ag 0.8810 0.7103 0.8970
8 Ag 0.8810 0.2896 0.0466
9 Ag 0.3810 0.3852 0.7595
10 Ag 0.3810 0.9645 0.9090

Output
- SG = P2_1/m (11)
- calculated density (g/cm³) = 7.26
- calculated volume (Å³/atom) = 20.1

***

Most stable structure, least stable structure: 2, 1.

***

1:
The following is a DFT calculation (PBE-GGA) of a relaxed structure of Al6ZnAg2.

a b c (Å): 8.9517 6.2917 6.2917
angles (deg): 77.91 104.00 104.00
Sites, in units of the cell vectors:
1 Al 0.5330 0.8076 0.4776
2 Al 0.9670 0.5224 0.1924
3 Al 0.4670 0.1924 0.5224
4 Al 0.0330 0.4776 0.8076
5 Al 0.0634 0.8444 0.4390
6 Al 0.4366 0.5610 0.1556
7 Al 0.9366 0.1556 0.5610
8 Al 0.5634 0.4390 0.8444
9 Al 0.1046 0.9046 0.9300
10 Al 0.3954 0.0700 0.0954
11 Al 0.8954 0.0954 0.0700
12 Al 0.6046 0.9300 0.9046
13 Zn 0.2500 0.3081 0.6919
14 Zn 0.7500 0.6919 0.3081
15 Ag 0.3099 0.7521 0.7453
16 Ag 0.1901 0.2547 0.2479
17 Ag 0.6901 0.2479 0.2547
18 Ag 0.8099 0.7453 0.7521

Output
- SG = C2/c (15)
- calculated density (g/cm³) = 4.47
- calculated volume (Å³/atom) = 18.3

***

2:
The following is a DFT calculation (PBE-GGA) of a relaxed structure of Al6ZnAg2.

a b c (Å): 5.5537 5.5537 7.0681
angles (deg): 66.87 66.87 60.00
Sites, in units of the cell vectors:
1 Al 0.7894 0.2691 0.6725
2 Al 0.2690 0.7894 0.6725
3 Al 0.2691 0.2690 0.6725
4 Al 0.0652 0.5781 0.2915
5 Al 0.0652 0.0652 0.2915
6 Al 0.5781 0.0652 0.2915
7 Zn 0.3409 0.3409 0.9772
8 Ag 0.7272 0.7272 0.8183
9 Ag 0.5615 0.5615 0.3156

Output
- SG = R3m (160)
- calculated density (g/cm³) = 4.37
- calculated volume (Å³/atom) = 18.7

***

Most stable structure, least stable structure: 1, 2.

***

1:
The following is a DFT calculation (PBE-GGA) of a relaxed structure of AlZnAg6.

a b c (Å): 7.5203 7.1018 4.9158
angles (deg): 49.38 46.17 61.79
Sites, in units of the cell vectors:
1 Al 0.5000 0.5000 0.5000
2 Zn 0.0000 0.0000 0.0000
3 Ag 0.0757 0.5751 0.6004
4 Ag 0.7485 0.9532 0.8188
5 Ag 0.4538 0.2498 0.2745
6 Ag 0.2515 0.0468 0.1812
7 Ag 0.9243 0.4249 0.3996
8 Ag 0.5462 0.7502 0.7255

Output
- SG = P-1 (2)
- calculated density (g/cm³) = 8.55
- calculated volume (Å³/atom) = 18.0

***

2:
The following is a DFT calculation (PBE-GGA) of a relaxed structure of AlZnAg6.

a b c (Å): 4.1186 4.1186 8.0769
angles (deg): 90.00 90.00 90.00
Sites, in units of the cell vectors:
1 Al 0.0000 0.0000 0.0000
2 Zn 0.0000 0.0000 0.5000
3 Ag 0.5000 0.5000 0.0000
4 Ag 0.5000 0.5000 0.5000
5 Ag 0.5000 0.0000 0.2489
6 Ag 0.5000 0.0000 0.7511
7 Ag 0.0000 0.5000 0.2489
8 Ag 0.0000 0.5000 0.7511

Output
- SG = P4/mmm (123)
- calculated density (g/cm³) = 8.96
- calculated volume (Å³/atom) = 17.1

***

Most stable structure, least stable structure: 2, 1.

***

1:
The following is a DFT calculation (PBE-GGA) of a relaxed structure of AlZnAg5.

a b c (Å): 4.7937 4.7937 10.9484
angles (deg): 90.00 90.00 99.79
Sites, in units of the cell vectors:
1 Al 0.0000 0.0000 0.0000
2 Al 0.0000 0.0000 0.5000
3 Zn 0.6363 0.6363 0.7500
4 Zn 0.3637 0.3637 0.2500
5 Ag 0.5570 0.1562 0.8890
6 Ag 0.4430 0.8438 0.3890
7 Ag 0.8438 0.4430 0.3890
8 Ag 0.0516 0.0516 0.7500
9 Ag 0.8438 0.4430 0.1110
10 Ag 0.1562 0.5570 0.8890
11 Ag 0.9484 0.9484 0.2500
12 Ag 0.1562 0.5570 0.6110
13 Ag 0.5570 0.1562 0.6110
14 Ag 0.4430 0.8438 0.1110

Output
- SG = Cmcm (63)
- calculated density (g/cm³) = 8.46
- calculated volume (Å³/atom) = 17.7

***

2:
The following is a DFT calculation (PBE-GGA) of a relaxed structure of AlZnAg5.

a b c (Å): 7.0443 7.0443 5.1321
angles (deg): 78.96 78.96 90.20
Sites, in units of the cell vectors:
1 Al 0.4353 0.5647 0.2500
2 Al 0.5647 0.4353 0.7500
3 Zn 0.0000 0.0000 0.0000
4 Zn 0.0000 0.0000 0.5000
5 Ag 0.6680 0.8156 0.3962
6 Ag 0.9524 0.3391 0.6907
7 Ag 0.8156 0.6680 0.8962
8 Ag 0.7200 0.2800 0.2500
9 Ag 0.6609 0.0476 0.8093
10 Ag 0.3391 0.9524 0.1907
11 Ag 0.2800 0.7200 0.7500
12 Ag 0.1844 0.3320 0.1038
13 Ag 0.0476 0.6609 0.3093
14 Ag 0.3320 0.1844 0.6038

Output
- SG = C2/c (15)
- calculated density (g/cm³) = 8.56
- calculated volume (Å³/atom) = 17.5

***

Most stable structure, least stable structure: 1, 2.